# 1
A plane-wave DFT calculation with PBE was carried out for a relaxed Ac8Hg3Ir3Pt crystal.

The structure in extended XYZ format:
```
15
Lattice="8.776 0.000 0.000 -4.388 7.609 -0.034 0.000 -5.051 8.020" Properties=species:S:1:pos:R:3 pbc="T T T"
Ac 0.000 2.543 2.378
Ac 4.388 0.016 5.608
Ac 4.388 2.508 2.361
Ac 0.000 0.050 5.626
Ac 6.552 -1.244 2.376
Ac -2.164 3.803 5.610
Ac 2.224 -1.244 2.376
Ac 2.164 3.803 5.610
Hg 0.000 0.000 0.000
Hg -2.194 3.805 -0.017
Hg 2.194 3.805 -0.017
Ir 4.388 -2.525 4.010
Ir 2.194 1.279 3.993
Ir -2.194 1.279 3.993
Pt 0.000 -2.525 4.010
```

Values from the calculation:
Its calculated volume is 534.1 Å³/cell. The energy relative to the elements is -653 meV per atom.



# 2
A plane-wave DFT calculation with PBE was carried out for a relaxed Ac4HgIrRh2 crystal.

The structure in extended XYZ format:
```
8
Lattice="-1.742 -4.891 6.027 4.424 -2.220 4.727 -1.638 1.944 6.354" Properties=species:S:1:pos:R:3 pbc="T T T"
Ac -1.390 -1.380 6.750
Ac 3.174 -1.711 7.800
Ac 0.792 -5.462 8.524
Ac -0.487 -1.781 11.142
Hg 0.000 0.000 0.000
Ir 0.522 -2.583 8.554
Rh 0.664 -0.881 4.727
Rh 0.380 -4.286 12.381
```

Values from the calculation:
Its calculated volume is 245.9 Å³/cell. The energy relative to the elements is -393 meV per atom.



# 3
A plane-wave DFT calculation with PBE was carried out for a relaxed Ac8Hg4IrRh3 crystal.

The structure in extended XYZ format:
```
16
Lattice="8.639 0.000 0.000 0.000 9.612 0.662 -4.319 -4.342 6.116" Properties=species:S:1:pos:R:3 pbc="T T T"
Ac -2.168 2.534 6.388
Ac 0.000 4.713 3.316
Ac 0.000 0.561 3.452
Ac 2.168 2.534 6.388
Ac 2.151 2.737 0.390
Ac 4.319 4.709 3.326
Ac 4.319 0.557 3.462
Ac 6.487 2.737 0.390
Hg 4.319 0.000 0.000
Hg 2.160 -2.171 3.058
Hg 0.000 0.000 0.000
Hg -2.160 -2.171 3.058
Ir 0.000 4.806 0.331
Rh 4.319 4.806 0.331
Rh 2.160 2.635 3.389
Rh -2.160 2.635 3.389
```

Values from the calculation:
Its calculated volume is 532.7 Å³/cell. The energy relative to the elements is -612 meV per atom.



# 4
A plane-wave DFT calculation with PBE was carried out for a relaxed Ac8Hg3IrRh3 crystal.

The structure in extended XYZ format:
```
15
Lattice="8.660 0.005 0.004 -4.326 7.504 -0.032 0.001 -4.975 8.151" Properties=species:S:1:pos:R:3 pbc="T T T"
Ac 0.003 2.511 2.424
Ac 4.332 0.022 5.699
Ac 4.333 2.542 2.416
Ac 0.002 -0.008 5.707
Ac 6.520 -1.253 2.431
Ac -2.185 3.787 5.692
Ac 2.142 -1.255 2.429
Ac 2.193 3.789 5.694
Hg 0.000 0.000 0.000
Hg -2.163 3.752 -0.016
Hg 2.167 3.755 -0.014
Ir 0.001 -2.488 4.075
Rh 4.331 -2.485 4.077
Rh 2.168 1.267 4.062
Rh -2.162 1.265 4.059
```

Values from the calculation:
Its calculated volume is 528.6 Å³/cell. The energy relative to the elements is -595 meV per atom.



# 5
A plane-wave DFT calculation with PBE was carried out for a relaxed Ac6HgIr3Rh2 crystal.

The structure in extended XYZ format:
```
12
Lattice="4.350 0.000 0.000 0.000 8.790 0.638 -2.175 -2.199 9.030" Properties=species:S:1:pos:R:3 pbc="T T T"
Ac 0.000 6.465 6.311
Ac 2.175 4.584 3.354
Ac 2.175 0.127 3.357
Ac 0.000 2.428 0.334
Ac 2.175 4.163 9.334
Ac 0.000 2.008 6.314
Hg 2.175 0.000 0.000
Ir 2.175 4.395 0.319
Ir 2.175 -0.259 6.350
Ir 0.000 6.851 3.318
Rh 2.175 4.311 6.380
Rh 0.000 2.280 3.288
```

Values from the calculation:
Its calculated volume is 351.4 Å³/cell. The energy relative to the elements is -525 meV per atom.



# 6
A plane-wave DFT calculation with PBE was carried out for a relaxed Ac2HgIrRh crystal.

The structure in extended XYZ format:
```
10
Lattice="4.616 0.000 0.000 0.000 8.208 -0.617 0.000 -4.222 7.818" Properties=species:S:1:pos:R:3 pbc="T T T"
Ac 3.462 3.387 4.594
Ac 3.462 5.699 0.313
Ac 1.154 0.599 2.607
Ac 1.154 -1.714 6.889
Hg 1.154 4.223 2.281
Hg 3.462 -0.238 4.921
Ir 1.154 3.458 6.917
Ir 3.462 0.527 0.285
Rh 1.154 1.213 5.704
Rh 3.462 2.773 1.497
```

Values from the calculation:
Its calculated volume is 284.2 Å³/cell. The energy relative to the elements is -551 meV per atom.



# 7
A plane-wave DFT calculation with PBE was carried out for a relaxed Ac4Hg2IrRu crystal.

The structure in extended XYZ format:
```
8
Lattice="-2.890 -1.569 2.810 4.839 -5.359 1.984 1.444 6.686 5.217" Properties=species:S:1:pos:R:3 pbc="T T T"
Ac -0.031 -0.731 2.889
Ac 3.423 0.489 7.122
Ac 2.473 3.924 4.733
Ac 3.810 -2.597 2.468
Hg -0.723 2.558 4.014
Hg 3.141 0.663 3.600
Ir 0.000 0.000 0.000
Ru 0.974 -3.464 2.397
```

Values from the calculation:
Its calculated volume is 266.9 Å³/cell. The energy relative to the elements is -443 meV per atom.



# 8
A plane-wave DFT calculation with PBE was carried out for a relaxed Ac6Hg3IrRu2 crystal.

The structure in extended XYZ format:
```
12
Lattice="7.451 -0.003 -0.001 -3.726 6.453 -0.001 -1.243 -2.152 8.291" Properties=species:S:1:pos:R:3 pbc="T T T"
Ac 3.737 2.124 6.668
Ac 2.469 4.275 1.597
Ac -1.255 2.173 1.622
Ac -0.028 4.298 6.668
Ac 0.013 0.022 6.693
Ac 2.510 -0.001 1.622
Hg -2.535 4.329 4.145
Hg 5.017 -0.032 4.145
Hg 1.241 2.149 4.145
Ir 0.000 0.000 0.000
Ru -0.009 4.306 -0.001
Ru 3.734 2.144 -0.001
```

Values from the calculation:
Its calculated volume is 398.5 Å³/cell. The energy relative to the elements is -385 meV per atom.



# 9
A plane-wave DFT calculation with PBE was carried out for a relaxed Ac8Hg3Ir3Ru crystal.

The structure in extended XYZ format:
```
15
Lattice="8.720 0.006 0.006 -4.355 7.555 -0.035 0.003 -5.012 8.096" Properties=species:S:1:pos:R:3 pbc="T T T"
Ac 0.004 2.526 2.429
Ac 4.364 0.022 5.639
Ac 4.364 2.566 2.429
Ac 0.004 -0.017 5.638
Ac 6.575 -1.269 2.448
Ac -2.207 3.817 5.619
Ac 2.148 -1.271 2.444
Ac 2.219 3.819 5.623
Hg 0.000 0.000 0.000
Hg -2.178 3.777 -0.017
Hg 2.182 3.780 -0.014
Ir 4.361 -2.503 4.051
Ir 2.184 1.274 4.034
Ir -2.176 1.271 4.030
Ru 0.001 -2.506 4.048
```

Values from the calculation:
Its calculated volume is 532.1 Å³/cell. The energy relative to the elements is -515 meV per atom.



# 10
A plane-wave DFT calculation with PBE was carried out for a relaxed Ac8Hg4Ir3S crystal.

The structure in extended XYZ format:
```
16
Lattice="8.781 0.000 0.000 0.000 9.549 0.535 -4.390 -4.389 6.212" Properties=species:S:1:pos:R:3 pbc="T T T"
Ac -2.114 2.502 6.366
Ac 0.000 4.615 3.374
Ac 0.000 0.509 3.462
Ac 2.114 2.502 6.366
Ac 2.276 2.659 0.381
Ac 4.390 4.651 3.285
Ac 4.390 0.545 3.373
Ac 6.505 2.659 0.381
Hg 4.390 0.000 0.000
Hg 2.195 -2.194 3.106
Hg 0.000 0.000 0.000
Hg -2.195 -2.194 3.106
Ir 4.390 4.775 0.267
Ir 2.195 2.580 3.373
Ir -2.195 2.580 3.373
S 0.000 4.775 0.267
```

Values from the calculation:
Its calculated volume is 541.5 Å³/cell. For the formation energy from raw total energies, the calculation gives -739 meV per atom.



# 11
A plane-wave DFT calculation with PBE was carried out for a relaxed Ac2HgSb4Ir3 crystal.

The structure in extended XYZ format:
```
10
Lattice="-2.979 0.445 -3.735 3.178 -2.251 -2.803 -4.405 -9.227 2.414" Properties=species:S:1:pos:R:3 pbc="T T T"
Ac -2.587 -2.076 -1.266
Ac -1.719 -8.053 0.411
Hg -2.103 -5.516 -2.062
Sb 0.099 -0.903 -3.269
Sb 0.000 0.000 0.000
Sb -4.305 -5.675 -0.324
Sb -0.001 -4.455 -0.531
Ir -2.203 -4.613 1.207
Ir -5.403 -7.974 0.277
Ir 1.097 -2.155 -1.132
```

Values from the calculation:
Its calculated volume is 241.9 Å³/cell. For the formation energy from raw total energies, the calculation gives -547 meV per atom.



# 12
A plane-wave DFT calculation with PBE was carried out for a relaxed Ac4Hg2SbIr crystal.

The structure in extended XYZ format:
```
8
Lattice="-3.979 2.002 0.214 -3.507 -7.248 2.613 2.352 3.957 6.721" Properties=species:S:1:pos:R:3 pbc="T T T"
Ac -2.439 -0.126 2.293
Ac -2.695 -1.163 7.254
Ac 0.830 0.999 6.096
Ac -1.985 -4.290 3.238
Hg -0.813 2.980 3.467
Hg -0.578 -1.645 4.667
Sb 0.000 0.000 0.000
Ir -3.743 -2.623 1.413
```

Values from the calculation:
Its calculated volume is 295.2 Å³/cell. For the formation energy from raw total energies, the calculation gives -636 meV per atom.